DFT (PBE) results for a relaxed structure of BaOsO4.

Results
Electronic total energy: -7.150 eV/atom
SG: No. 63
Mass density: 7.72 g/cm³

Lattice parameters (Å, degrees): 7.508 7.508 5.931 90.00 90.00 149.73
Fractional coordinates of all 12 atoms:
O (0.000, 0.000, 0.000)
Ba (0.648, 0.352, 0.250)
Os (0.089, 0.911, 0.750)
Os (0.911, 0.089, 0.250)
O (0.418, 0.582, 0.250)
O (0.000, 0.000, 0.500)
O (0.181, 0.819, 0.967)
O (0.819, 0.181, 0.467)
Ba (0.352, 0.648, 0.750)
O (0.582, 0.418, 0.750)
O (0.819, 0.181, 0.033)
O (0.181, 0.819, 0.533)